Here is crystalline CuBiPb at its relaxed geometry from Alexandria via LeMat-Bulk. Energies are from PBE.

**Energy of formation**: 0.15 eV/atom
**E_tot**: -11.2 eV per formula unit
**ρ**: 9.606 g/cm³
**Polymorph energy (0 for the lowest one)**: 0.041 eV per atom

Structure (CIF):
```
data_CuBiPb
_chemical_formula_sum 'Cu1 Bi1 Pb1'
_cell_length_a 4.3353
_cell_length_b 4.3353
_cell_length_c 5.0946
_cell_angle_alpha 90.00
_cell_angle_beta 90.00
_cell_angle_gamma 120.00
_space_group_name_H-M_alt 'P 3 m 1'
_space_group_IT_number 156
loop_
_space_group_symop_operation_xyz
'x,y,z'
'-y,x-y,z'
'-x+y,-x,z'
'-y,-x,z'
'-x+y,y,z'
'x,x-y,z'
loop_
_atom_site_label
_atom_site_type_symbol
_atom_site_fract_x
_atom_site_fract_y
_atom_site_fract_z
Cu1 Cu 0.0000 0.0000 0.0000
Bi1 Bi 0.6667 0.3333 0.2021
Pb1 Pb 0.3333 0.6667 0.7320
```